Record 1
Material: Y4FeAu
Method: DFT, PBE
State: relaxed

Values from the calculation:
- space group = No. 216
- distance to the lowest polymorph of the same formula (meV/atom) = 950
- formation energy from the elements (eV per atom) = 0.67

a b c (Å): 6.104 6.104 6.104
angles (deg): 60.00 60.00 60.00
Fractional positions:
Y  0.375  0.875  0.375
Fe  0.000  0.000  0.000
Y  0.375  0.375  0.375
Y  0.875  0.375  0.375
Y  0.375  0.375  0.875
Au  0.750  0.750  0.750

***

Record 2
Material: YFe2Au
Method: DFT, PBE
State: relaxed

Values from the calculation:
- space group = No. 123
- formation energy from the elements (eV per atom) = 0.15

a b c (Å): 3.450 3.450 6.114
angles (deg): 90.00 90.00 90.00
Fractional positions:
Fe  0.000  0.000  0.560
Fe  0.000  0.000  0.940
Y  0.500  0.500  0.250
Au  0.500  0.500  0.750

***

Record 3
Material: Y6Fe2Au
Method: DFT, PBE
State: relaxed

Values from the calculation:
- space group = No. 71
- formation energy from the elements (eV per atom) = -0.21

a b c (Å): 8.338 8.338 8.338
angles (deg): 107.47 109.73 111.23
Fractional positions:
Au  0.000  0.000  0.000
Y  0.208  0.777  0.985
Fe  0.500  0.609  0.109
Fe  0.387  0.000  0.387
Fe  0.613  0.000  0.613
Y  0.524  0.710  0.814
Y  0.706  0.023  0.316
Y  0.706  0.390  0.684
Fe  0.500  0.391  0.891
Y  0.896  0.710  0.186
Y  0.792  0.223  0.015
Y  0.104  0.290  0.814
Y  0.476  0.290  0.186
Y  0.208  0.223  0.430
Au  0.000  0.500  0.500
Y  0.294  0.977  0.684
Y  0.294  0.610  0.316
Y  0.792  0.777  0.570

***

Record 4
Material: YFeAu2
Method: DFT, PBE
State: relaxed

Values from the calculation:
- space group = No. 6
- formation energy from the elements (eV per atom) = -0.21

a b c (Å): 4.667 3.424 5.251
angles (deg): 89.84 90.00 90.00
Fractional positions:
Y  0.500  0.750  0.765
Fe  0.000  0.252  0.482
Au  0.500  0.249  0.280
Au  0.000  0.249  0.974

***

Record 5
Material: YFeAu3
Method: DFT, PBE
State: relaxed

Values from the calculation:
- space group = No. 221
- distance to the lowest polymorph of the same formula (meV/atom) = 0
- formation energy from the elements (eV per atom) = 0.05

a b c (Å): 4.836 4.836 4.836
angles (deg): 90.00 90.00 90.00
Fractional positions:
Y  0.500  0.500  0.500
Au  0.500  0.000  0.000
Au  0.000  0.500  0.000
Fe  0.000  0.000  0.000
Au  0.000  0.000  0.500

***

Record 6
Material: Y4FeAu
Method: DFT, PBE
State: relaxed

Values from the calculation:
- space group = No. 15
- distance to the lowest polymorph of the same formula (meV/atom) = 0
- formation energy from the elements (eV per atom) = -0.28

a b c (Å): 6.186 7.896 7.896
angles (deg): 111.29 106.47 106.47
Fractional positions:
Y  0.086  0.942  0.289
Y  0.693  0.217  0.350
Y  0.914  0.058  0.711
Y  0.586  0.289  0.942
Fe  0.750  0.999  0.001
Y  0.193  0.350  0.217
Y  0.307  0.783  0.650
Y  0.414  0.711  0.058
Au  0.250  0.368  0.632
Fe  0.250  0.001  0.999
Y  0.807  0.650  0.783
Au  0.750  0.632  0.368

***

Record 7
Material: YFeAu3
Method: DFT, PBE
State: relaxed

Values from the calculation:
- space group = No. 221
- distance to the lowest polymorph of the same formula (meV/atom) = 926
- formation energy from the elements (eV per atom) = 0.98

a b c (Å): 5.374 5.374 5.374
angles (deg): 90.00 90.00 90.00
Fractional positions:
Au  0.000  0.500  0.000
Fe  0.500  0.500  0.500
Au  0.500  0.000  0.000
Au  0.000  0.000  0.500
Y  0.000  0.000  0.000

***

Record 8
Material: YFe2Au
Method: DFT, PBE
State: relaxed

Values from the calculation:
- space group = No. 166
- formation energy from the elements (eV per atom) = 0.50

a b c (Å): 9.173 9.173 9.173
angles (deg): 19.18 19.18 19.18
Fractional positions:
Fe  0.006  0.006  0.006
Y  0.250  0.250  0.250
Au  0.750  0.750  0.750
Fe  0.494  0.494  0.494

***

Record 9
Material: YFe2Au
Method: DFT, PBE
State: relaxed

Values from the calculation:
- space group = No. 160
- formation energy from the elements (eV per atom) = 0.27

a b c (Å): 8.067 8.067 8.067
angles (deg): 23.76 23.76 23.76
Fractional positions:
Y  0.506  0.506  0.506
Au  0.740  0.740  0.740
Fe  0.263  0.263  0.263
Fe  0.991  0.991  0.991

***

Record 10
Material: YFeAu2
Method: DFT, PBE
State: relaxed

Values from the calculation:
- space group = No. 122
- formation energy from the elements (eV per atom) = 0.06

a b c (Å): 4.653 4.653 9.209
angles (deg): 75.37 75.37 90.00
Fractional positions:
Y  0.000  0.000  0.000
Fe  0.500  0.500  0.000
Au  0.875  0.794  0.750
Au  0.375  0.456  0.750
Au  0.544  0.125  0.250
Au  0.206  0.625  0.250
Fe  0.250  0.750  0.500
Y  0.750  0.250  0.500

***

Record 11
Material: YFe2Au
Method: DFT, PBE
State: relaxed

Values from the calculation:
- space group = No. 10
- formation energy from the elements (eV per atom) = 0.14

a b c (Å): 4.522 3.575 4.893
angles (deg): 88.89 90.00 90.00
Fractional positions:
Au  0.500  0.750  0.750
Fe  0.000  0.781  0.022
Fe  0.000  0.719  0.478
Y  0.500  0.250  0.250

***

Record 12
Material: YFe3Au
Method: DFT, PBE
State: relaxed

Values from the calculation:
- space group = No. 221
- distance to the lowest polymorph of the same formula (meV/atom) = 0
- formation energy from the elements (eV per atom) = 0.84

a b c (Å): 4.780 4.780 4.780
angles (deg): 90.00 90.00 90.00
Fractional positions:
Fe  0.000  0.000  0.500
Au  0.000  0.000  0.000
Fe  0.500  0.000  0.000
Y  0.500  0.500  0.500
Fe  0.000  0.500  0.000

***

Record 13
Material: YFeAu4
Method: DFT, PBE
State: relaxed

Values from the calculation:
- space group = No. 216
- formation energy from the elements (eV per atom) = -0.09

a b c (Å): 5.515 5.515 5.515
angles (deg): 60.00 60.00 60.00
Fractional positions:
Y  0.000  0.000  0.000
Au  0.873  0.376  0.376
Fe  0.750  0.750  0.750
Au  0.376  0.376  0.376
Au  0.376  0.376  0.873
Au  0.376  0.873  0.376

***

Record 14
Material: YFe2Au
Method: DFT, PBE
State: relaxed

Values from the calculation:
- space group = No. 12
- formation energy from the elements (eV per atom) = 0.06

a b c (Å): 4.858 4.858 4.819
angles (deg): 69.41 69.41 45.23
Fractional positions:
Y  0.250  0.250  0.250
Au  0.750  0.750  0.750
Fe  0.483  0.483  0.615
Fe  0.017  0.017  0.885

***

Record 15
Material: YFe2Au
Method: DFT, PBE
State: relaxed

Values from the calculation:
- space group = No. 122
- formation energy from the elements (eV per atom) = 0.27

a b c (Å): 4.144 4.144 9.786
angles (deg): 77.78 77.78 90.00
Fractional positions:
Au  0.000  0.000  0.000
Fe  0.002  0.625  0.250
Y  0.250  0.750  0.500
Fe  0.375  0.252  0.750
Fe  0.748  0.125  0.250
Au  0.750  0.250  0.500
Y  0.500  0.500  0.000
Fe  0.875  0.998  0.750

***

Record 16
Material: YFe3Au
Method: DFT, PBE
State: relaxed

Values from the calculation:
- space group = No. 221
- distance to the lowest polymorph of the same formula (meV/atom) = 906
- formation energy from the elements (eV per atom) = 1.75

a b c (Å): 4.644 4.644 4.644
angles (deg): 90.00 90.00 90.00
Fractional positions:
Fe  0.500  0.000  0.000
Au  0.500  0.500  0.500
Fe  0.000  0.000  0.500
Fe  0.000  0.500  0.000
Y  0.000  0.000  0.000

***

Record 17
Material: YFeAu
Method: DFT, PBE
State: relaxed

Values from the calculation:
- space group = No. 216
- formation energy from the elements (eV per atom) = 0.06

a b c (Å): 4.494 4.494 4.494
angles (deg): 60.00 60.00 60.00
Fractional positions:
Au  0.500  0.500  0.500
Fe  0.750  0.750  0.750
Y  0.000  0.000  0.000

***

Record 18
Material: YFeAu
Method: DFT, PBE
State: relaxed

Values from the calculation:
- space group = No. 216
- formation energy from the elements (eV per atom) = 0.46

a b c (Å): 4.694 4.694 4.694
angles (deg): 60.00 60.00 60.00
Fractional positions:
Y  0.750  0.750  0.750
Fe  0.500  0.500  0.500
Au  0.000  0.000  0.000

***

Record 19
Material: YFeAu2
Method: DFT, PBE
State: relaxed

Values from the calculation:
- space group = No. 99
- formation energy from the elements (eV per atom) = -0.24

a b c (Å): 3.547 3.543 6.183
angles (deg): 90.00 90.00 90.00
Fractional positions:
Au  0.000  0.000  0.016
Fe  0.000  0.000  0.458
Au  0.500  0.500  0.275
Y  0.500  0.500  0.752

***

Record 20
Material: YFeAu2
Method: DFT, PBE
State: relaxed

Values from the calculation:
- space group = No. 216
- formation energy from the elements (eV per atom) = -0.17

a b c (Å): 4.759 4.759 4.759
angles (deg): 60.00 60.00 60.00
Fractional positions:
Y  0.750  0.750  0.750
Au  0.250  0.250  0.250
Au  0.000  0.000  0.000
Fe  0.500  0.500  0.500